Below is crystalline Cr2RuCl at its relaxed geometry, with properties calculated at the PBE-GGA level.

a = 3.8684 Å, b = 2.8457 Å, c = 5.0687 Å
α = 75.94°, β = 90.00°, γ = 90.00°
Last column: nearest neighbours and their distance in Å.
Positions (direct):
1 Cl 0.5000 0.7500 0.7500  4 Cr 2.43, 2 Ru 2.59
2 Cr 0.0000 0.8203 0.0276  1 Cr 2.19, 2 Cl 2.43
3 Cr 0.0000 0.6797 0.4724  1 Cr 2.19, 2 Cl 2.43
4 Ru 0.5000 0.2500 0.2500  2 Cl 2.59, 8 Cr 2.60-2.68, 2 Ru 2.85

E, eV/atom: -7.0528
Formation energy without anion corrections, eV per formula unit: 2.16
V, Å³ per cell: 54.13
Size of the total moment, μB/f.u.: 0.0